Density functional theory data (GGA+U) for a relaxed structure of Mg5NiO6.

Results
DFT total energy = -5.802 eV per atom

Unit cell a=5.2012 b=9.0054 c=5.1999 alpha=90.00 beta=109.52 gamma=90.00
Space group C2/m (No. 12)
Asymmetric unit:
1 Mg 0.0000 0.0000 0.0000 x2
2 Mg 0.0000 0.1668 0.5000 x4
3 Mg 0.0000 0.3350 0.0000 x4
4 Ni 0.0000 0.5000 0.5000 x2
5 O 0.2486 0.0000 0.7512 x4
6 O 0.2489 0.1674 0.2488 x8